[1]
This record from Alexandria describes a crystal of YHoHg2 relaxed with PBEsol. The functional is SCAN.

The calculation puts the density of states at the Fermi level at 9.13 states/eV per cell. The calculation puts the calculated formation energy at -0.7415 eV/atom. As for the crystal system: cubic.

```
data_YHoHg2
_symmetry_space_group_name_H-M 'F m -3 m'
_symmetry_Int_Tables_number 225
_symmetry_space_group_name_Hall '-F 4 2 3'
_cell_length_a 7.2989
_cell_length_b 7.2989
_cell_length_c 7.2989
_cell_angle_alpha 90.00
_cell_angle_beta 90.00
_cell_angle_gamma 90.00
loop_
_atom_site_label
_atom_site_type_symbol
_atom_site_fract_x
_atom_site_fract_y
_atom_site_fract_z
Y1 Y 0.0000 0.0000 0.0000
Ho1 Ho 0.0000 0.0000 0.5000
Hg1 Hg 0.2500 0.2500 0.2500
```

***

[2]
This record from Alexandria describes a crystal of BeNbCu2As relaxed with PBEsol. The functional is SCAN.

The calculation puts the density of states at the Fermi level at 2.44 states/eV per cell. The calculation puts the calculated formation energy at 0.4650 eV/atom. As for the crystal system: tetragonal.

```
data_BeNbCu2As
_symmetry_space_group_name_H-M 'P 4/m m m'
_symmetry_Int_Tables_number 123
_symmetry_space_group_name_Hall '-P 4 2'
_cell_length_a 3.9392
_cell_length_b 3.9392
_cell_length_c 4.4540
_cell_angle_alpha 90.00
_cell_angle_beta 90.00
_cell_angle_gamma 90.00
loop_
_atom_site_label
_atom_site_type_symbol
_atom_site_fract_x
_atom_site_fract_y
_atom_site_fract_z
Be1 Be 0.0000 0.0000 0.0000
Nb1 Nb 0.5000 0.5000 0.5000
Cu1 Cu 0.0000 0.5000 0.0000
As1 As 0.0000 0.0000 0.5000
```

***

[3]
This record from Alexandria describes a crystal of CdHg2Ir relaxed with PBEsol. The functional is SCAN.

The calculation puts the density of states at the Fermi level at 1.67 states/eV per cell. Its energy above the most stable polymorph in this dataset is 0.21 eV/f.u. The calculation puts the calculated formation energy at 0.3951 eV/atom. As for the crystal system: monoclinic.

```
data_CdHg2Ir
_symmetry_space_group_name_H-M 'P 1 2/m 1'
_symmetry_Int_Tables_number 10
_symmetry_space_group_name_Hall '-P 2y'
_cell_length_a 3.0555
_cell_length_b 4.8036
_cell_length_c 5.0899
_cell_angle_alpha 90.00
_cell_angle_beta 92.26
_cell_angle_gamma 90.00
loop_
_atom_site_label
_atom_site_type_symbol
_atom_site_fract_x
_atom_site_fract_y
_atom_site_fract_z
Cd1 Cd 0.0000 0.0000 0.0000
Hg1 Hg 0.2651 0.5000 0.7419
Ir1 Ir 0.5000 0.0000 0.5000
```

***

[4]
This record from Alexandria describes a crystal of Cd4P2I3 relaxed with PBEsol. The functional is SCAN.

Its energy relative to the elements, uncorrected is -0.3885 eV per atom. The calculation puts the density of states at the Fermi level at 0.00 states/eV per cell. As for the crystal system: orthorhombic.

```
data_Cd4P2I3
_symmetry_space_group_name_H-M 'P b c a'
_symmetry_Int_Tables_number 61
_symmetry_space_group_name_Hall '-P 2ac 2ab'
_cell_length_a 12.4666
_cell_length_b 12.9457
_cell_length_c 12.5932
_cell_angle_alpha 90.00
_cell_angle_beta 90.00
_cell_angle_gamma 90.00
loop_
_atom_site_label
_atom_site_type_symbol
_atom_site_fract_x
_atom_site_fract_y
_atom_site_fract_z
Cd1 Cd 0.0427 0.2134 0.0674
Cd2 Cd 0.0880 0.0640 0.7916
Cd3 Cd 0.0949 0.5149 0.9282
Cd4 Cd 0.2033 0.5874 0.5781
P1 P 0.0535 0.5464 0.4509
P2 P 0.0944 0.1040 0.5966
I1 I 0.0634 0.7445 0.6751
I2 I 0.1852 0.0787 0.2453
I3 I 0.2474 0.6804 0.9288
```

***

[5]
This record from Alexandria describes a crystal of NbP2CCl relaxed with PBEsol. The functional is SCAN.

Its energy relative to the elements, uncorrected is 1.0537 eV per atom. The calculation puts the density of states at the Fermi level at 3.10 states/eV per cell. As for the crystal system: tetragonal.

```
data_NbP2CCl
_symmetry_space_group_name_H-M 'P 4/m m m'
_symmetry_Int_Tables_number 123
_symmetry_space_group_name_Hall '-P 4 2'
_cell_length_a 3.9377
_cell_length_b 3.9377
_cell_length_c 4.3073
_cell_angle_alpha 90.00
_cell_angle_beta 90.00
_cell_angle_gamma 90.00
loop_
_atom_site_label
_atom_site_type_symbol
_atom_site_fract_x
_atom_site_fract_y
_atom_site_fract_z
Nb1 Nb 0.0000 0.0000 0.0000
P1 P 0.0000 0.5000 0.5000
C1 C 0.5000 0.5000 0.5000
Cl1 Cl 0.5000 0.5000 0.0000
```

***

[6]
This record from Alexandria describes a crystal of BeInPd2 relaxed with PBEsol. The functional is SCAN.

The calculation puts the density of states at the Fermi level at 6.42 states/eV per cell. The calculation puts the calculated formation energy at -0.4219 eV/atom. As for the crystal system: cubic.

```
data_BeInPd2
_symmetry_space_group_name_H-M 'F m -3 m'
_symmetry_Int_Tables_number 225
_symmetry_space_group_name_Hall '-F 4 2 3'
_cell_length_a 6.1393
_cell_length_b 6.1393
_cell_length_c 6.1393
_cell_angle_alpha 90.00
_cell_angle_beta 90.00
_cell_angle_gamma 90.00
loop_
_atom_site_label
_atom_site_type_symbol
_atom_site_fract_x
_atom_site_fract_y
_atom_site_fract_z
Be1 Be 0.0000 0.0000 0.0000
In1 In 0.0000 0.0000 0.5000
Pd1 Pd 0.2500 0.2500 0.2500
```

***

[7]
This record from Alexandria describes a crystal of LiCo2O4 relaxed with PBEsol. The functional is SCAN.

Its energy relative to the elements, uncorrected is -1.5594 eV per atom. The calculation puts the density of states at the Fermi level at 12.82 states/eV per cell. Its energy above the most stable polymorph in this dataset is 0.39 eV/f.u. As for the crystal system: orthorhombic.

```
data_LiCo2O4
_symmetry_space_group_name_H-M 'P m m n'
_symmetry_Int_Tables_number 59
_cell_length_a 5.5536
_cell_length_b 9.8920
_cell_length_c 4.7985
_cell_angle_alpha 90.00
_cell_angle_beta 90.00
_cell_angle_gamma 90.00
loop_
_symmetry_equiv_pos_as_xyz
'x,y,z'
'-x,-y,-z'
'-x+1/2,-y+1/2,z'
'x+1/2,y+1/2,-z'
'x+1/2,-y,-z'
'-x+1/2,y,z'
'-x,y+1/2,-z'
'x,-y+1/2,z'
loop_
_atom_site_label
_atom_site_type_symbol
_atom_site_fract_x
_atom_site_fract_y
_atom_site_fract_z
Li1 Li 0.2500 0.2500 0.0320
Li2 Li 0.2500 0.7500 0.3612
Co1 Co 0.0000 0.0000 0.5000
Co2 Co 0.2500 0.5057 0.9938
O1 O 0.0017 0.0994 0.8340
O2 O 0.2500 0.0932 0.3225
O3 O 0.2500 0.5994 0.6558
```

***

[8]
This record from Alexandria describes a crystal of CuAsCSe2 relaxed with PBEsol. The functional is SCAN.

Its energy relative to the elements, uncorrected is 1.8625 eV per atom. The calculation puts the density of states at the Fermi level at 3.95 states/eV per cell. As for the crystal system: tetragonal.

```
data_CuAsCSe2
_symmetry_space_group_name_H-M 'P 4/m m m'
_symmetry_Int_Tables_number 123
_symmetry_space_group_name_Hall '-P 4 2'
_cell_length_a 4.6686
_cell_length_b 4.6686
_cell_length_c 4.4949
_cell_angle_alpha 90.00
_cell_angle_beta 90.00
_cell_angle_gamma 90.00
loop_
_atom_site_label
_atom_site_type_symbol
_atom_site_fract_x
_atom_site_fract_y
_atom_site_fract_z
Cu1 Cu 0.0000 0.0000 0.0000
As1 As 0.0000 0.0000 0.5000
C1 C 0.5000 0.5000 0.5000
Se1 Se 0.0000 0.5000 0.0000
```

***

Repeat the sixth record exactly.
This record from Alexandria describes a crystal of BeInPd2 relaxed with PBEsol. The functional is SCAN.

The calculation puts the density of states at the Fermi level at 6.42 states/eV per cell. The calculation puts the calculated formation energy at -0.4219 eV/atom. As for the crystal system: cubic.

```
data_BeInPd2
_symmetry_space_group_name_H-M 'F m -3 m'
_symmetry_Int_Tables_number 225
_symmetry_space_group_name_Hall '-F 4 2 3'
_cell_length_a 6.1393
_cell_length_b 6.1393
_cell_length_c 6.1393
_cell_angle_alpha 90.00
_cell_angle_beta 90.00
_cell_angle_gamma 90.00
loop_
_atom_site_label
_atom_site_type_symbol
_atom_site_fract_x
_atom_site_fract_y
_atom_site_fract_z
Be1 Be 0.0000 0.0000 0.0000
In1 In 0.0000 0.0000 0.5000
Pd1 Pd 0.2500 0.2500 0.2500
```